The following is a PBE calculation of crystalline TaCoPd at its relaxed geometry, from the Alexandria database.

Unit cell a=2.745 b=4.303 c=4.303 alpha=120.00 beta=90.00 gamma=90.00
Site moments in Bohr magnetons follow the coordinates.
Atoms (fractional coordinates):
Ta: 0.948 0.000 0.000  -0.09
Pd: 0.328 0.667 0.333  -0.01
Co: 0.724 0.333 0.667  0.64

Summary:
E, Ry per atom: -0.598
Polymorph energy (0 for the lowest one), meV/atom: 244.7
Crystal system: trigonal
Energy of formation from the pure elements, meV per atom: -89
Spin magnetization, μB per cell: 0.490
SG: No. 156